(1)
# TmReP2

Crystalline TmReP2 at its relaxed geometry (GGA-PBE, OQMD via LeMat-Bulk).

Structure (extended XYZ):
```
8
Lattice="6.4012 1.5977 3.2102 -0.1309 1.5030 7.1804 -2.6045 -5.2534 -4.4105" Properties=species:S:1:pos:R:3 pbc="T T T"
P 5.3547 1.6911 5.7014
P 2.3429 -0.4250 4.3755
P -0.1212 -3.0686 2.8764
P -0.2446 -2.5028 -0.9930
Tm 0.0000 0.0000 0.0000
Tm 3.4660 -1.0526 1.9975
Re 0.1999 -1.1000 3.9826
Re 3.1352 1.5504 5.1953
```

* E_tot: -7.230 eV/atom
* SG: No. 122



(2)
# Zr9Re4P

Crystalline Zr9Re4P at its relaxed geometry (GGA-PBE, OQMD via LeMat-Bulk).

Structure (extended XYZ):
```
28
Lattice="-3.6283 7.7299 0.1493 -0.1672 -4.6582 -7.1562 -7.6306 -3.6307 2.5416" Properties=species:S:1:pos:R:3 pbc="T T T"
Re -6.5059 -1.5838 1.1829
Re 0.0000 0.0000 0.0000
Re -8.9862 3.7003 1.2850
Re -9.1004 0.5160 -3.6069
Re -3.8153 -1.8154 1.2708
Re -2.3256 -1.0750 -0.8583
Re -2.4398 -4.2593 -5.7503
Re -4.9201 1.0248 -5.6482
Zr -2.2594 -2.8466 -3.1904
Zr -4.9220 0.4933 -0.2061
Zr -8.1207 -5.6665 -3.2900
Zr -3.7458 -1.6436 -5.9346
Zr -9.5959 -2.5235 -3.2293
Zr -6.5040 -1.0523 -4.2592
Zr -3.6803 0.1807 -3.1319
Zr -9.1666 2.2876 -1.2749
Zr -6.4652 1.7422 -3.0551
Zr -7.7457 -0.7398 -1.3334
Zr -3.3733 3.2134 -4.0850
Zr -3.3053 5.1074 -1.1753
Zr -4.9608 -2.3013 -1.4102
Zr -6.3973 3.6362 -0.1454
Zr -7.6802 1.0846 1.4693
Zr -1.8301 1.9645 -1.2360
Zr -5.0287 -4.1953 -4.3199
Zr -8.0527 -3.7725 -0.3803
P -7.0438 -3.2519 -2.8148
P -4.3822 2.6928 -1.6505
```

* E_tot: -9.834 eV/atom
* SG: No. 194



(3)
# TmPSe2S2

Crystalline TmPSe2S2 at its relaxed geometry (GGA-PBE, OQMD via LeMat-Bulk).

Structure (extended XYZ):
```
12
Lattice="-3.3638 5.3086 -1.7877 -4.8223 -2.9982 -3.6113 -4.6768 -0.4239 6.2788" Properties=species:S:1:pos:R:3 pbc="T T T"
Tm -8.5400 2.9075 3.4223
Tm -4.3228 -1.0211 -2.5425
S -6.5093 3.2955 -1.9771
S -3.0035 1.1951 -1.2956
S -9.8593 0.6914 2.1753
S -6.3535 -1.4090 2.8569
Se -6.1543 2.1062 2.1578
Se -4.1500 0.2892 4.6654
Se -6.7085 -0.2197 -1.2781
Se -8.7128 1.5973 -3.7857
P -6.1281 0.5066 3.6314
P -6.7347 1.3799 -2.7517
```

* E_tot: -5.109 eV/atom
* SG: No. 2